Entry 1:
Computed, not measured: crystalline SrZnPt2 at its relaxed geometry at the PBE level of DFT.

The calculation puts the formation energy at -28.1 kJ per mole of atoms. Its total energy is -4.051 eV/atom. As for the total moment: 0.000 μB per atom.

It has space group P4mm (No. 99), with a = 3.5237 Å, b = 3.5237 Å, c = 6.6094 Å, α = 90.00°, β = 90.00° and γ = 90.00°. The inequivalent atoms are Sr at (0.0000, 0.0000, 0.0000), Zn at (0.5000, 0.5000, 0.3546), Pt at (0.0000, 0.0000, 0.4801) and Pt at (0.5000, 0.5000, 0.7365).

---

Entry 2:
Computed, not measured: crystalline SrZn2Pt2 at its relaxed geometry at the PBE level of DFT.

The calculation puts the formation energy at -66.3 kJ per mole of atoms. Its total energy is -3.949 eV/atom. As for the total moment: 0.000 μB per atom. For the distance to the lowest polymorph of the same formula, the calculation gives 2 meV per atom.

It has space group I4/mmm (No. 139), with a = 4.2803 Å, b = 4.2803 Å, c = 21.8384 Å, α = 90.00°, β = 90.00° and γ = 90.00°. The inequivalent atoms are Sr at (0.0000, 0.0000, 0.1306), Zn at (0.0000, 0.0000, 0.3166), Zn at (0.0000, 0.5000, 0.0000), Pt at (0.0000, 0.0000, 0.4330) and Pt at (0.0000, 0.5000, 0.2500).

---

Entry 3:
Computed, not measured: crystalline SrZnPt at its relaxed geometry at the PBE level of DFT.

The calculation puts the formation energy at 2.5 kJ per mole of atoms. Its total energy is -2.973 eV/atom. As for the total moment: 0.000 μB per atom.

It has space group F-43m (No. 216), with a = 7.0212 Å, b = 7.0212 Å, c = 7.0212 Å, α = 90.00°, β = 90.00° and γ = 90.00°. The inequivalent atoms are Sr at (0.0000, 0.0000, 0.0000), Zn at (0.2500, 0.2500, 0.7500) and Pt at (0.2500, 0.2500, 0.2500).

---

Entry 4:
Computed, not measured: crystalline Sr4Zn3Pt2 at its relaxed geometry at the PBE level of DFT.

The calculation puts the formation energy at -49.1 kJ per mole of atoms. Its total energy is -3.024 eV/atom. As for the total moment: 0.000 μB per atom.

It has space group C2/m (No. 12), with a = 16.6869 Å, b = 4.2095 Å, c = 7.5359 Å, α = 90.00°, β = 108.90° and γ = 90.00°. The inequivalent atoms are Sr at (0.0710, 0.0000, 0.3608), Sr at (0.2332, 0.5000, 0.1938), Zn at (0.0000, 0.5000, 0.0000), Zn at (0.0975, 0.5000, 0.7499) and Pt at (0.0988, 0.0000, 0.9564).

---

Entry 5:
Computed, not measured: crystalline Sr5Zn5Pt2 at its relaxed geometry at the PBE level of DFT.

The calculation puts the formation energy at -43.8 kJ per mole of atoms. Its total energy is -2.693 eV/atom. As for the total moment: 0.000 μB per atom.

It has space group C2/m (No. 12), with a = 16.4323 Å, b = 4.3520 Å, c = 12.1110 Å, α = 90.00°, β = 129.36° and γ = 90.00°. The inequivalent atoms are Sr at (0.0000, 0.0000, 0.0000), Sr at (0.1194, 0.5000, 0.8208), Sr at (0.1995, 0.5000, 0.5844), Zn at (0.0000, 0.0000, 0.5000), Zn at (0.0655, 0.0000, 0.3277), Zn at (0.2082, 0.5000, 0.1578) and Pt at (0.1108, 0.5000, 0.2613).

---

Entry 6:
Computed, not measured: crystalline Sr2Zn4Pt at its relaxed geometry at the PBE level of DFT.

The calculation puts the formation energy at -24.2 kJ per mole of atoms. Its total energy is -2.322 eV/atom. As for the total moment: 0.000 μB per atom.

It has space group I4/mmm (No. 139), with a = 4.8637 Å, b = 4.8637 Å, c = 16.1711 Å, α = 90.00°, β = 90.00° and γ = 90.00°. The inequivalent atoms are Sr at (0.0000, 0.0000, 0.1471), Zn at (0.0000, 0.0000, 0.3450), Zn at (0.0000, 0.5000, 0.0000) and Pt at (0.0000, 0.0000, 0.5000).

---

Entry 7:
Computed, not measured: crystalline Sr3ZnPt at its relaxed geometry at the PBE level of DFT.

The calculation puts the formation energy at -31.9 kJ per mole of atoms. Its total energy is -2.802 eV/atom. As for the total moment: 0.000 μB per atom. For the distance to the lowest polymorph of the same formula, the calculation gives 137 meV per atom.

It has space group Pm-3m (No. 221), with a = 5.8781 Å, b = 5.8781 Å, c = 5.8781 Å, α = 90.00°, β = 90.00° and γ = 90.00°. The inequivalent atoms are Sr at (0.0000, 0.0000, 0.5000), Zn at (0.5000, 0.5000, 0.5000) and Pt at (0.0000, 0.0000, 0.0000).

---

Entry 8:
Computed, not measured: crystalline SrZrZnPt2 at its relaxed geometry at the PBE level of DFT.

The calculation puts the formation energy at 150.7 kJ per mole of atoms. Its total energy is -3.155 eV/atom. As for the total moment: 0.000 μB per atom.

It has space group P4/mmm (No. 123), with a = 5.1430 Å, b = 5.1430 Å, c = 5.3163 Å, α = 90.00°, β = 90.00° and γ = 90.00°. The inequivalent atoms are Sr at (0.0000, 0.0000, 0.0000), Zr at (0.0000, 0.0000, 0.5000), Zn at (0.5000, 0.5000, 0.5000) and Pt at (0.0000, 0.5000, 0.0000).

---

Entry 9:
Computed, not measured: crystalline Sr2ZrPt at its relaxed geometry at the PBE level of DFT.

The calculation puts the formation energy at 10.4 kJ per mole of atoms. Its total energy is -4.380 eV/atom. As for the total moment: 0.486 μB per atom. For the distance to the lowest polymorph of the same formula, the calculation gives 457 meV per atom.

It has space group R-3m (No. 166, hexagonal axes), with a = 3.8514 Å, b = 3.8514 Å, c = 30.0643 Å, α = 90.00°, β = 90.00° and γ = 120.00°. The inequivalent atoms are Sr at (0.0000, 0.0000, 0.2318), Zr at (0.0000, 0.0000, 0.0000) and Pt at (0.0000, 0.0000, 0.5000).

---

Entry 10:
Computed, not measured: crystalline SrZrPt3 at its relaxed geometry at the PBE level of DFT.

The calculation puts the formation energy at 117.2 kJ per mole of atoms. Its total energy is -4.455 eV/atom. As for the total moment: 0.000 μB per atom. For the distance to the lowest polymorph of the same formula, the calculation gives 1472 meV per atom.

It has space group Pm-3m (No. 221), with a = 5.0712 Å, b = 5.0712 Å, c = 5.0712 Å, α = 90.00°, β = 90.00° and γ = 90.00°. The inequivalent atoms are Sr at (0.0000, 0.0000, 0.0000), Zr at (0.5000, 0.5000, 0.5000) and Pt at (0.0000, 0.0000, 0.5000).

---

Entry 11:
Computed, not measured: crystalline Sr2ZrPt at its relaxed geometry at the PBE level of DFT.

The calculation puts the formation energy at 22.2 kJ per mole of atoms. Its total energy is -4.258 eV/atom. As for the total moment: 0.000 μB per atom. For the distance to the lowest polymorph of the same formula, the calculation gives 579 meV per atom.

It has space group Cmmm (No. 65), with a = 6.4145 Å, b = 9.3420 Å, c = 3.6968 Å, α = 90.00°, β = 90.00° and γ = 90.00°. The inequivalent atoms are Sr at (0.2500, 0.2500, 0.0000), Zr at (0.0000, 0.0000, 0.5000) and Pt at (0.0000, 0.5000, 0.5000).

---

Entry 12:
Computed, not measured: crystalline SrZrPt3 at its relaxed geometry at the PBE level of DFT.

The calculation puts the formation energy at -24.8 kJ per mole of atoms. Its total energy is -5.927 eV/atom. As for the total moment: 0.000 μB per atom. For the distance to the lowest polymorph of the same formula, the calculation gives 0 meV per atom.

It has space group Pm-3m (No. 221), with a = 5.0721 Å, b = 5.0721 Å, c = 5.0721 Å, α = 90.00°, β = 90.00° and γ = 90.00°. The inequivalent atoms are Sr at (0.0000, 0.0000, 0.0000), Zr at (0.5000, 0.5000, 0.5000) and Pt at (0.0000, 0.5000, 0.5000).

---

Question: What is the total energy in the third record?
Answer: -2.973 eV/atom